# 1
A relaxed Pm2MnAl4Ir3 crystal. Source: the Alexandria database, functional GGA-PBE.

a = 4.144 Å, b = 4.144 Å, c = 10.809 Å
α = 90.00°, β = 90.00°, γ = 90.00°
Space group P-4m2 (No. 115)
One atom of each set of equivalent atoms:
Pm  0.000  0.500  0.249 [2 per cell]
Mn  0.500  0.500  0.000 [1 per cell]
Al  0.000  0.000  0.500 [1 per cell]
Al  0.000  0.500  0.869 [2 per cell]
Al  0.500  0.500  0.500 [1 per cell]
Ir  0.000  0.000  0.000 [1 per cell]
Ir  0.000  0.500  0.635 [2 per cell]

Energy of formation: -710 meV per atom
Electronic total energy: -0.2474 hartree per atom
Total magnetization: 0.231 μB/atom

# 2
A relaxed Nd2ScPaP4 crystal. Source: the Alexandria database, functional GGA-PBE.

a = 6.895 Å, b = 4.025 Å, c = 7.003 Å
α = 90.00°, β = 109.40°, γ = 90.00°
Space group P2/m (No. 10)
One atom of each set of equivalent atoms:
Nd  0.000  0.000  0.000 [1 per cell]
Nd  0.500  0.500  0.000 [1 per cell]
Sc  0.000  0.500  0.500 [1 per cell]
Pa  0.500  0.000  0.500 [1 per cell]
P  0.240  0.000  0.727 [2 per cell]
P  0.252  0.500  0.270 [2 per cell]

Energy of formation: -1461 meV per atom
Electronic total energy: -0.2696 hartree per atom
Total magnetization: 0.000 μB/atom

# 3
A relaxed Ce2Ge3Ir2 crystal. Source: the Alexandria database, functional GGA-PBE.

a = 10.210 Å, b = 4.294 Å, c = 6.789 Å
α = 90.00°, β = 113.90°, γ = 90.00°
Space group C2/m (No. 12)
One atom of each set of equivalent atoms:
Ce  0.150  0.000  0.281 [4 per cell]
Ge  0.000  0.500  0.500 [2 per cell]
Ge  0.119  0.500  0.940 [4 per cell]
Ir  0.140  0.000  0.719 [4 per cell]

Energy of formation: -666 meV per atom
Electronic total energy: -0.2525 hartree per atom
Total magnetization: 0.043 μB/atom